(1)
Compound: Sr2TlNi
Source: Alexandria
Functional: PBE
Structure: relaxed

Values from the calculation:
Its size of the total moment is 0.0 μB per cell. The energy of formation is -0.040 eV/f.u.

Cell lengths 7.2519, 4.1314, 9.1443 Å; angles 90.00, 104.61, 90.00 degrees
Closest atoms and distances in Å follow each position.
Space group C2/m (No. 12)
Unique sites:
Sr: 0.2317 0.0000 0.1964 [4 per cell]  3 Ni 2.96-2.97
Tl: 0.0000 0.0000 0.5000 [2 per cell]  6 Sr 3.59-3.61
Ni: 0.0000 0.5000 0.0000 [2 per cell]  6 Sr 2.96-2.97

(2)
Compound: SrTlNi3
Source: Alexandria
Functional: PBE
Structure: relaxed

Values from the calculation:
Its size of the total moment is 0.0 μB per cell. For the energy relative to the lowest polymorph listed for this composition, the calculation gives 0.850 eV per atom. The energy of formation is 7.425 eV/f.u.

Cell lengths 4.8660, 4.8660, 4.8660 Å; angles 90.00, 90.00, 90.00 degrees
Closest atoms and distances in Å follow each position.
Space group Pm-3m (No. 221)
Unique sites:
Sr: 0.0000 0.0000 0.0000 [1 per cell]  6 Ni 2.43
Tl: 0.5000 0.5000 0.5000 [1 per cell]  12 Ni 3.44
Ni: 0.0000 0.0000 0.5000 [3 per cell]  2 Sr 2.43

| no. | raw total energy (eV per cell) |
| --- | --- |
| 1 | -23.10 |
| 2 | -13.97 |